{"formula": "RbCuSnHg2", "functional": "PBE", "state": "optimized geometry", "lattice_angstrom": [[-0.827, -2.606, 5.322], [1.882, -5.211, -2.259], [4.696, 1.138, 1.287]], "species": ["Hg", "Rb", "Sn", "Hg", "Cu"], "frac_coords": [[0.500, 0.000, 0.000], [0.500, 0.500, 0.500], [0.000, 0.000, 0.000], [0.000, 0.500, 0.000], [0.000, 0.000, 0.500]], "polymorph_energy_ev_per_fu": 0.32, "formation_energy_ev_per_atom": 0.065, "vol_a3_per_atom": 35.81}